NbTcSCl2, relaxed, DFT PBE; formation energy (no corrections) = 0.753 eV per atom; E above lowest polymorph = 378 meV per atom; size of the total moment = 0.053 μB/atom
1.0
-1.121 3.399 -3.149
-3.670 -2.629 -1.531
-2.692 1.966 3.081
Tc S Cl Nb
1 1 2 1
Direct
0.000 0.000 0.000 Tc
0.000 0.000 0.500 S
0.500 0.000 0.000 Cl
0.000 0.500 0.000 Cl
0.500 0.500 0.500 Nb